(P)
{"formula": "TcNiW2", "functional": "PBE", "state": "relaxed", "lattice_angstrom": [[3.887, 0.000, 0.000], [0.000, 3.886, 0.000], [0.000, 0.000, 3.822]], "species": ["Ni", "W", "W", "Tc"], "frac_coords": [[0.500, 0.000, 0.500], [0.000, 0.000, 0.000], [0.500, 0.500, 0.000], [0.000, 0.500, 0.500]], "magmom_total_mub_per_fu": 0.000, "space_group": "P4/mmm, No. 123"}


(Q)
{"formula": "TcNiW2", "functional": "PBE", "state": "relaxed", "lattice_angstrom": [[2.685, -0.009, 0.000], [-0.726, 2.585, 0.000], [0.000, 0.000, 8.421]], "species": ["Tc", "Ni", "W", "W"], "frac_coords": [[0.500, 0.500, 0.736], [0.000, 0.000, 0.501], [0.500, 0.500, 0.266], [0.000, 0.000, 0.996]], "magmom_total_mub_per_fu": 0.000, "space_group": "Cmm2, No. 35"}


(P) is favored, and the nearest alternative lies 68 meV per atom above it.


(P)
{"formula": "TcNiW", "functional": "PBE", "state": "relaxed", "lattice_angstrom": [[-2.489, -0.538, -0.406], [-1.598, -1.785, 3.974], [-3.135, 6.784, 2.045]], "species": ["W", "Ni", "Ni", "W", "Tc", "Tc"], "frac_coords": [[0.082, 0.235, 0.601], [0.604, 0.693, 0.099], [0.396, 0.307, 0.901], [0.918, 0.765, 0.399], [0.262, 0.246, 0.230], [0.738, 0.754, 0.770]], "magmom_total_mub_per_fu": 0.000, "space_group": "C2/m, No. 12"}


(Q)
{"formula": "TcNiW", "functional": "PBE", "state": "relaxed", "lattice_angstrom": [[-1.297, -0.659, 3.868], [-2.887, -2.860, 0.752], [1.016, -3.498, 1.952]], "species": ["W", "Tc", "Ni"], "frac_coords": [[0.250, 0.250, 0.250], [0.500, 0.500, 0.500], [0.000, 0.000, 0.000]], "magmom_total_mub_per_fu": 0.000, "space_group": "F-43m, No. 216"}


(R)
{"formula": "TcNiW", "functional": "PBE", "state": "relaxed", "lattice_angstrom": [[4.715, -0.006, 0.003], [2.306, 4.112, -0.003], [-3.016, -2.898, 2.175]], "species": ["W", "Ni", "Tc"], "frac_coords": [[0.663, 0.663, 0.000], [0.998, 0.998, 0.000], [0.339, 0.339, 0.000]], "magmom_total_mub_per_fu": 0.000, "space_group": "Imm2, No. 44"}


(R) is favored, and the nearest alternative lies 273 meV per atom above it.